MnTlTc2: single point on PBEsol structure, meta-GGA SCAN.

Geometry as CIF:
```
data_MnTlTc2
_symmetry_space_group_name_H-M 'F -4 3 m'
_symmetry_Int_Tables_number 216
_symmetry_space_group_name_Hall 'F -4 2 3'
_cell_length_a 6.2824
_cell_length_b 6.2824
_cell_length_c 6.2824
_cell_angle_alpha 90.00
_cell_angle_beta 90.00
_cell_angle_gamma 90.00
loop_
_atom_site_label
_atom_site_type_symbol
_atom_site_fract_x
_atom_site_fract_y
_atom_site_fract_z
Mn1 Mn 0.0000 0.0000 0.0000
Tl1 Tl 0.2500 0.2500 0.7500
Tc1 Tc 0.0000 0.0000 0.5000
Tc2 Tc 0.2500 0.2500 0.2500
```

Calculated values
Energy relative to the lowest polymorph listed for this composition   30.3 meV per atom
Calculated volume   248.0 Å³ per cell
M_tot   4.32 μB/f.u.
E_form   0.412 eV/atom

=====

Mn2TcW: single point on PBEsol structure, meta-GGA SCAN.

Geometry as CIF:
```
data_Mn2TcW
_symmetry_space_group_name_H-M 'F m -3 m'
_symmetry_Int_Tables_number 225
_symmetry_space_group_name_Hall '-F 4 2 3'
_cell_length_a 5.9223
_cell_length_b 5.9223
_cell_length_c 5.9223
_cell_angle_alpha 90.00
_cell_angle_beta 90.00
_cell_angle_gamma 90.00
loop_
_atom_site_label
_atom_site_type_symbol
_atom_site_fract_x
_atom_site_fract_y
_atom_site_fract_z
Mn1 Mn 0.2500 0.2500 0.2500
Tc1 Tc 0.0000 0.0000 0.0000
W1 W 0.0000 0.0000 0.5000
```

Calculated values
Energy relative to the lowest polymorph listed for this composition   85.9 meV per atom
Calculated volume   207.7 Å³ per cell
M_tot   3.62 μB/f.u.
E_form   0.072 eV/atom

=====

MnTcW: single point on PBEsol structure, meta-GGA SCAN.

Geometry as CIF:
```
data_MnTcW
_symmetry_space_group_name_H-M 'F -4 3 m'
_symmetry_Int_Tables_number 216
_symmetry_space_group_name_Hall 'F -4 2 3'
_cell_length_a 5.8359
_cell_length_b 5.8359
_cell_length_c 5.8359
_cell_angle_alpha 90.00
_cell_angle_beta 90.00
_cell_angle_gamma 90.00
loop_
_atom_site_label
_atom_site_type_symbol
_atom_site_fract_x
_atom_site_fract_y
_atom_site_fract_z
Mn1 Mn 0.0000 0.0000 0.0000
Tc1 Tc 0.2500 0.2500 0.7500
W1 W 0.0000 0.0000 0.5000
```

Calculated values
Calculated volume   198.8 Å³ per cell
M_tot   3.83 μB/f.u.
E_form   0.643 eV/atom

=====

Mn2TcW: single point on PBEsol structure, meta-GGA SCAN.

Geometry as CIF:
```
data_Mn2TcW
_symmetry_space_group_name_H-M 'P 4/m m m'
_symmetry_Int_Tables_number 123
_symmetry_space_group_name_Hall '-P 4 2'
_cell_length_a 4.0521
_cell_length_b 4.0521
_cell_length_c 3.1483
_cell_angle_alpha 90.00
_cell_angle_beta 90.00
_cell_angle_gamma 90.00
loop_
_atom_site_label
_atom_site_type_symbol
_atom_site_fract_x
_atom_site_fract_y
_atom_site_fract_z
Mn1 Mn 0.0000 0.5000 0.0000
Tc1 Tc 0.0000 0.0000 0.5000
W1 W 0.5000 0.5000 0.5000
```

Calculated values
Energy relative to the lowest polymorph listed for this composition   71.2 meV per atom
Calculated volume   51.7 Å³ per cell
M_tot   3.88 μB/f.u.
E_form   0.057 eV/atom

=====

MnTcW2: single point on PBEsol structure, meta-GGA SCAN.

Geometry as CIF:
```
data_MnTcW2
_symmetry_space_group_name_H-M 'F m -3 m'
_symmetry_Int_Tables_number 225
_symmetry_space_group_name_Hall '-F 4 2 3'
_cell_length_a 6.0808
_cell_length_b 6.0808
_cell_length_c 6.0808
_cell_angle_alpha 90.00
_cell_angle_beta 90.00
_cell_angle_gamma 90.00
loop_
_atom_site_label
_atom_site_type_symbol
_atom_site_fract_x
_atom_site_fract_y
_atom_site_fract_z
Mn1 Mn 0.0000 0.0000 0.0000
Tc1 Tc 0.0000 0.0000 0.5000
W1 W 0.2500 0.2500 0.2500
```

Calculated values
Energy relative to the lowest polymorph listed for this composition   45.9 meV per atom
Calculated volume   224.8 Å³ per cell
M_tot   1.95 μB/f.u.
E_form   0.086 eV/atom

=====

MnTcW2: single point on PBEsol structure, meta-GGA SCAN.

Geometry as CIF:
```
data_MnTcW2
_symmetry_space_group_name_H-M 'C m m 2'
_symmetry_Int_Tables_number 35
_symmetry_space_group_name_Hall 'C 2 -2'
_cell_length_a 3.1333
_cell_length_b 4.3204
_cell_length_c 8.4138
_cell_angle_alpha 90.00
_cell_angle_beta 90.00
_cell_angle_gamma 90.00
loop_
_atom_site_label
_atom_site_type_symbol
_atom_site_fract_x
_atom_site_fract_y
_atom_site_fract_z
Mn1 Mn 0.0000 0.0000 0.0000
Tc1 Tc 0.0000 0.5000 0.7709
W1 W 0.0000 0.0000 0.5102
W2 W 0.0000 0.5000 0.2412
```

Calculated values
Energy relative to the lowest polymorph listed for this composition   0.0 meV per atom
Calculated volume   113.9 Å³ per cell
M_tot   2.31 μB/f.u.
E_form   0.040 eV/atom

=====

> What is the E_form in the first record?

0.412 eV/atom

=====

> The lowest calculated volume belongs to which entry?

number 4

=====

> What is the formula in the first record?

MnTlTc2